Record 1
Material: CaV4O10
Method: DFT, GGA+U
State: relaxed

Output
For the energy, the calculation gives -7.481 eV/atom. Its space group is Amm2 (38). The calculation puts the spin magnetization at 2.0 μB per cell.

Cell and atoms, written as POSCAR:
```
CaV4O10
1.0
3.710 0.000 0.000
-1.855 5.616 0.000
0.000 0.000 11.368
Ca V O
1 4 10
direct
0.899 0.798 0.750 Ca
0.200 0.401 0.596 V
0.792 0.584 0.399 V
0.792 0.584 0.101 V
0.200 0.401 0.904 V
0.733 0.467 0.250 O
0.284 0.569 0.750 O
0.249 0.499 0.071 O
0.760 0.520 0.927 O
0.760 0.520 0.573 O
0.249 0.499 0.429 O
0.054 0.108 0.618 O
0.934 0.868 0.385 O
0.054 0.108 0.882 O
0.934 0.868 0.115 O
```

Record 2
Material: CaV2O
Method: DFT, GGA+U
State: relaxed

Output
For the energy, the calculation gives -5.730 eV/atom. Its space group is Fd-3m (227). The calculation puts the spin magnetization at 11.6 μB per cell.

Cell and atoms, written as POSCAR:
```
CaV2O
1.0
-4.717 -4.194 -0.773
2.903 -2.312 -5.164
1.302 -6.210 -0.403
Ca O V
2 2 4
direct
0.000 0.000 0.000 Ca
0.750 0.250 0.500 Ca
0.500 0.500 0.000 O
0.250 0.750 0.500 O
0.375 0.125 0.250 V
0.375 0.625 0.250 V
0.375 0.625 0.750 V
0.875 0.625 0.750 V
```

Please write out number 2 again, unchanged.
Material: CaV2O
Method: DFT, GGA+U
State: relaxed

Output
For the energy, the calculation gives -5.730 eV/atom. Its space group is Fd-3m (227). The calculation puts the spin magnetization at 11.6 μB per cell.

Cell and atoms, written as POSCAR:
```
CaV2O
1.0
-4.717 -4.194 -0.773
2.903 -2.312 -5.164
1.302 -6.210 -0.403
Ca O V
2 2 4
direct
0.000 0.000 0.000 Ca
0.750 0.250 0.500 Ca
0.500 0.500 0.000 O
0.250 0.750 0.500 O
0.375 0.125 0.250 V
0.375 0.625 0.250 V
0.375 0.625 0.750 V
0.875 0.625 0.750 V
```

- The highest energy belongs to which entry?
  CaV2O

- Look up the spin magnetization of the first one.
  2.0 μB per cell

- Which of these has the highest energy?
  CaV2O